[1]
The following is a DFT calculation (GGA-PBE) of an optimized crystal structure of KTaBr2.

Unit cell a=5.5003 b=5.5003 c=5.5003 alpha=60.00 beta=60.00 gamma=60.00
With the nearest neighbours (Å) after each atom.
Fractional positions:
Br  0.0000  0.0000  0.0000  4 Ta 3.37, 4 Br 3.37
Br  0.2500  0.2500  0.2500  4 Br 3.37, 4 K 3.37
Ta  0.7500  0.7500  0.7500  4 K 3.37, 4 Br 3.37
K  0.5000  0.5000  0.5000  4 Br 3.37, 4 Ta 3.37

Computed properties:
The total magnetic moment is 3.99 μB/f.u. The value obtained for the electronic total energy is -3.235 eV per atom. For the formation energy (no corrections), the calculation gives 0.8389 eV/atom. For the excess energy over the best structure of this formula in the dataset, the calculation gives 0.971 eV/atom. As for the space group: F-43m, No. 216.

---

[2]
The following is a DFT calculation (GGA-PBE) of an optimized crystal structure of Tb6SnBi5.

Unit cell a=7.7467 b=7.7467 c=7.7814 alpha=99.55 beta=99.55 gamma=120.03
With the nearest neighbours (Å) after each atom.
Fractional positions:
Bi  0.1692  0.8308  0.5000  6 Tb 3.17-3.19
Bi  0.5000  0.5000  0.5000  6 Tb 3.17-3.20
Bi  0.3340  0.6660  0.0000  6 Tb 3.17
Bi  0.6660  0.3340  0.0000  6 Tb 3.17
Bi  0.8308  0.1692  0.5000  6 Tb 3.17-3.19
Tb  0.5892  0.9181  0.7537  1 Sn 3.12, 5 Bi 3.17-3.19
Tb  0.2455  0.2455  0.7512  1 Sn 3.13, 5 Bi 3.17-3.20
Tb  0.7545  0.7545  0.2488  1 Sn 3.13, 5 Bi 3.17-3.20
Tb  0.9181  0.5892  0.7537  1 Sn 3.12, 5 Bi 3.17-3.19
Tb  0.4108  0.0819  0.2463  1 Sn 3.12, 5 Bi 3.17-3.19
Tb  0.0819  0.4108  0.2463  1 Sn 3.12, 5 Bi 3.17-3.19
Sn  0.0000  0.0000  0.0000  6 Tb 3.12-3.13

Computed properties:
The total magnetic moment is 0.00 μB/f.u. The value obtained for the electronic total energy is -5.088 eV per atom. As for the space group: C2/m, No. 12.